# 1
Entry from the Alexandria database: a relaxed structure of ZnRe2Rh (GGA-PBE).

Summary:
ρ in kg/m³: 15416
Symmetry: C2/m
E in eV/atom: -8.336
Offset from the most stable computed form in meV/atom: 67

Unit cell a=4.856 b=4.856 c=4.618 alpha=80.56 beta=80.56 gamma=32.89
Fractional coordinates of all 4 atoms:
Rh 0.750 0.750 0.750
Re 0.493 0.493 0.503
Re 0.007 0.007 0.997
Zn 0.250 0.250 0.250



# 2
Entry from the Alexandria database: a relaxed structure of Zn2ReRh (GGA-PBE).

Summary:
ρ in kg/m³: 12095
Symmetry: P2/m
E in eV/atom: -5.502
Offset from the most stable computed form in meV/atom: 165

Unit cell a=4.373 b=2.697 c=4.906 alpha=85.19 beta=90.00 gamma=90.00
Fractional coordinates of all 4 atoms:
Zn 0.000 0.951 0.001
Zn 0.000 0.549 0.499
Rh 0.500 0.750 0.750
Re 0.500 0.250 0.250



# 3
Entry from the Alexandria database: a relaxed structure of Zn2ReRh (GGA-PBE).

Summary:
ρ in kg/m³: 12089
Symmetry: I4/mmm
E in eV/atom: -5.322
Offset from the most stable computed form in meV/atom: 345

Unit cell a=4.732 b=4.732 c=4.732 alpha=131.82 beta=131.82 gamma=70.52
Site moments in Bohr magnetons follow the coordinates.
Fractional coordinates of all 4 atoms:
Re 0.250 0.750 0.500  0.84
Zn 0.500 0.500 0.000  0.01
Zn 0.000 0.000 0.000  0.01
Rh 0.750 0.250 0.500  0.44



# 4
Entry from the Alexandria database: a relaxed structure of ZnReRh2 (GGA-PBE).

Summary:
ρ in kg/m³: 13276
Symmetry: Imm2
E in eV/atom: -7.065
Offset from the most stable computed form in meV/atom: 316

Unit cell a=5.210 b=5.210 c=5.210 alpha=148.24 beta=129.12 gamma=61.24
Fractional coordinates of all 4 atoms:
Re 0.258 0.758 0.500
Zn 0.501 0.501 0.000
Rh 0.733 0.233 0.500
Rh 0.007 0.007 0.000



# 5
Entry from the Alexandria database: a relaxed structure of ZnRe2Rh2 (GGA-PBE).

Summary:
ρ in kg/m³: 13496
Symmetry: P4/mbm
E in eV/atom: -7.941

Unit cell a=7.638 b=7.638 c=2.715 alpha=90.00 beta=90.00 gamma=90.00
Fractional coordinates of all 10 atoms:
Rh 0.669 0.831 0.500
Rh 0.169 0.669 0.500
Rh 0.831 0.331 0.500
Rh 0.331 0.169 0.500
Re 0.379 0.879 0.000
Re 0.121 0.379 0.000
Re 0.879 0.621 0.000
Re 0.621 0.121 0.000
Zn 0.500 0.500 0.000
Zn 0.000 0.000 0.000



# 6
Entry from the Alexandria database: a relaxed structure of ZnRe2Rh (GGA-PBE).

Summary:
ρ in kg/m³: 15398
Symmetry: C2/m
E in eV/atom: -8.194
Offset from the most stable computed form in meV/atom: 209

Unit cell a=4.937 b=4.937 c=2.701 alpha=89.91 beta=89.91 gamma=117.69
Fractional coordinates of all 4 atoms:
Re 0.000 0.000 0.000
Re 0.500 0.500 0.000
Zn 0.000 0.500 0.500
Rh 0.500 0.000 0.500



# 7
Entry from the Alexandria database: a relaxed structure of Zn2ReRh (GGA-PBE).

Summary:
ρ in kg/m³: 12259
Symmetry: I-4m2
E in eV/atom: -5.434
Offset from the most stable computed form in meV/atom: 233

Unit cell a=4.682 b=4.682 c=4.682 alpha=131.18 beta=131.18 gamma=71.52
Fractional coordinates of all 4 atoms:
Zn 0.250 0.750 0.500
Zn 0.000 0.000 0.000
Rh 0.750 0.250 0.500
Re 0.500 0.500 0.000



# 8
Entry from the Alexandria database: a relaxed structure of Zn2ReRh (GGA-PBE).

Summary:
ρ in kg/m³: 12021
Symmetry: Immm
E in eV/atom: -5.481
Offset from the most stable computed form in meV/atom: 186

Unit cell a=5.244 b=5.244 c=5.244 alpha=149.39 beta=127.11 gamma=62.35
Fractional coordinates of all 4 atoms:
Re 0.750 0.250 0.500
Rh 0.250 0.750 0.500
Zn 0.006 0.006 0.000
Zn 0.494 0.494 0.000



# 9
Entry from the Alexandria database: a relaxed structure of ZnReRh2 (GGA-PBE).

Summary:
ρ in kg/m³: 13113
Symmetry: Fm-3m
E in eV/atom: -6.988
Offset from the most stable computed form in meV/atom: 393

Unit cell a=4.343 b=4.343 c=4.343 alpha=60.00 beta=60.00 gamma=60.00
Site moments in Bohr magnetons follow the coordinates.
Fractional coordinates of all 4 atoms:
Re 0.500 0.500 0.500  0.50
Rh 0.750 0.750 0.750  0.15
Rh 0.250 0.250 0.250  0.15
Zn 0.000 0.000 0.000  0.01



# 10
Entry from the Alexandria database: a relaxed structure of ZnRe4Rh (GGA-PBE).

Summary:
ρ in kg/m³: 15654
Symmetry: F-43m
E in eV/atom: -9.202

Unit cell a=5.155 b=5.155 c=5.155 alpha=60.00 beta=60.00 gamma=60.00
Fractional coordinates of all 6 atoms:
Rh 0.750 0.750 0.750
Re 0.876 0.375 0.375
Re 0.375 0.375 0.876
Re 0.375 0.375 0.375
Re 0.375 0.876 0.375
Zn 0.000 0.000 0.000



# 11
Entry from the Alexandria database: a relaxed structure of ZnRe2Rh (GGA-PBE).

Summary:
ρ in kg/m³: 15380
Symmetry: F-43m
E in eV/atom: -8.218
Offset from the most stable computed form in meV/atom: 184

Unit cell a=4.354 b=4.354 c=4.354 alpha=60.00 beta=60.00 gamma=60.00
Fractional coordinates of all 4 atoms:
Rh 0.500 0.500 0.500
Re 0.250 0.250 0.250
Re 0.000 0.000 0.000
Zn 0.750 0.750 0.750



# 12
Entry from the Alexandria database: a relaxed structure of Zn2ReRh (GGA-PBE).

Summary:
ρ in kg/m³: 11804
Symmetry: R3m
E in eV/atom: -5.602
Offset from the most stable computed form in meV/atom: 65

Unit cell a=9.103 b=9.103 c=9.103 alpha=17.43 beta=17.43 gamma=17.43
Fractional coordinates of all 4 atoms:
Zn 0.004 0.004 0.004
Zn 0.248 0.248 0.248
Rh 0.752 0.752 0.752
Re 0.497 0.497 0.497



# 13
Entry from the Alexandria database: a relaxed structure of ZnReRh2 (GGA-PBE).

Summary:
ρ in kg/m³: 13252
Symmetry: Cm
E in eV/atom: -7.206
Offset from the most stable computed form in meV/atom: 175

Unit cell a=4.741 b=4.741 c=4.653 alpha=80.39 beta=80.39 gamma=33.81
Fractional coordinates of all 4 atoms:
Re 0.255 0.255 0.221
Rh 0.000 0.000 0.034
Rh 0.748 0.748 0.717
Zn 0.497 0.497 0.528



# 14
Entry from the Alexandria database: a relaxed structure of Zn2ReRh (GGA-PBE).

Summary:
ρ in kg/m³: 12148
Symmetry: F-43m
E in eV/atom: -5.381
Offset from the most stable computed form in meV/atom: 286

Unit cell a=4.330 b=4.330 c=4.330 alpha=60.00 beta=60.00 gamma=60.00
Fractional coordinates of all 4 atoms:
Rh 0.750 0.750 0.750
Re 0.500 0.500 0.500
Zn 0.250 0.250 0.250
Zn 0.000 0.000 0.000



# 15
Entry from the Alexandria database: a relaxed structure of ZnRe2Rh (GGA-PBE).

Summary:
ρ in kg/m³: 15510
Symmetry: I4/mmm
E in eV/atom: -8.289
Offset from the most stable computed form in meV/atom: 114

Unit cell a=4.973 b=4.973 c=4.973 alpha=136.33 beta=136.33 gamma=63.48
Fractional coordinates of all 4 atoms:
Zn 0.750 0.250 0.500
Re 0.000 0.000 0.000
Re 0.500 0.500 0.000
Rh 0.250 0.750 0.500



# 16
Entry from the Alexandria database: a relaxed structure of Zn3ReRh (GGA-PBE).

Summary:
ρ in kg/m³: 8088
Symmetry: Pm-3m
E in eV/atom: -3.548
Offset from the most stable computed form in meV/atom: 0

Unit cell a=4.636 b=4.636 c=4.636 alpha=90.00 beta=90.00 gamma=90.00
Site moments in Bohr magnetons follow the coordinates.
Fractional coordinates of all 5 atoms:
Zn 0.000 0.500 0.000  -0.05
Zn 0.000 0.000 0.500  -0.04
Zn 0.500 0.000 0.000  -0.03
Rh 0.000 0.000 0.000  0.23
Re 0.500 0.500 0.500  3.05



# 17
Entry from the Alexandria database: a relaxed structure of ZnReRh2 (GGA-PBE).

Summary:
ρ in kg/m³: 13243
Symmetry: P2/m
E in eV/atom: -7.043
Offset from the most stable computed form in meV/atom: 338

Unit cell a=2.700 b=4.877 c=5.233 alpha=56.32 beta=90.00 gamma=90.00
Fractional coordinates of all 4 atoms:
Zn 0.500 0.500 0.500
Re 0.000 0.000 0.500
Rh 0.000 0.000 0.000
Rh 0.500 0.500 0.000



# 18
Entry from the Alexandria database: a relaxed structure of ZnReRh2 (GGA-PBE).

Summary:
ρ in kg/m³: 13162
Symmetry: P4/mmm
E in eV/atom: -6.968
Offset from the most stable computed form in meV/atom: 413

Unit cell a=3.640 b=3.982 c=3.982 alpha=90.00 beta=90.00 gamma=90.00
Site moments in Bohr magnetons follow the coordinates.
Fractional coordinates of all 4 atoms:
Rh 0.000 0.500 0.500  0.23
Rh 0.000 0.000 0.000  0.23
Zn 0.500 0.500 0.000  0.01
Re 0.500 0.000 0.500  1.13



# 19
Entry from the Alexandria database: a relaxed structure of ZnRe2Rh (GGA-PBE).

Summary:
ρ in kg/m³: 15364
Symmetry: R-3m
E in eV/atom: -8.268
Offset from the most stable computed form in meV/atom: 135

Unit cell a=9.084 b=9.084 c=9.084 alpha=17.39 beta=17.39 gamma=17.39
Fractional coordinates of all 4 atoms:
Re 0.501 0.501 0.501
Re 0.999 0.999 0.999
Rh 0.250 0.250 0.250
Zn 0.750 0.750 0.750



# 20
Entry from the Alexandria database: a relaxed structure of Zn2ReRh (GGA-PBE).

Summary:
ρ in kg/m³: 12162
Symmetry: P4/mmm
E in eV/atom: -5.358
Offset from the most stable computed form in meV/atom: 309

Unit cell a=3.790 b=3.890 c=3.890 alpha=90.00 beta=90.00 gamma=90.00
Site moments in Bohr magnetons follow the coordinates.
Fractional coordinates of all 4 atoms:
Zn 0.000 0.500 0.500  0.01
Zn 0.000 0.000 0.000  0.01
Re 0.500 0.500 0.000  0.61
Rh 0.500 0.000 0.500  0.33



# 21
Entry from the Alexandria database: a relaxed structure of ZnReRh2 (GGA-PBE).

Summary:
ρ in kg/m³: 13233
Symmetry: R-3m
E in eV/atom: -7.264
Offset from the most stable computed form in meV/atom: 117

Unit cell a=8.763 b=8.763 c=8.763 alpha=18.21 beta=18.21 gamma=18.21
Fractional coordinates of all 4 atoms:
Zn 0.250 0.250 0.250
Rh 0.500 0.500 0.500
Rh 0.000 0.000 0.000
Re 0.750 0.750 0.750



# 22
Entry from the Alexandria database: a relaxed structure of ZnReRh2 (GGA-PBE).

Summary:
ρ in kg/m³: 13334
Symmetry: C2/m
E in eV/atom: -7.151
Offset from the most stable computed form in meV/atom: 230

Unit cell a=4.666 b=4.666 c=4.769 alpha=81.99 beta=81.99 gamma=33.67
Fractional coordinates of all 4 atoms:
Zn 0.750 0.750 0.750
Rh 0.999 0.999 0.005
Rh 0.501 0.501 0.495
Re 0.250 0.250 0.250



# 23
Entry from the Alexandria database: a relaxed structure of ZnReRh2 (GGA-PBE).

Summary:
ρ in kg/m³: 13349
Symmetry: I4/mmm
E in eV/atom: -7.151
Offset from the most stable computed form in meV/atom: 230

Unit cell a=4.641 b=4.641 c=4.641 alpha=130.24 beta=130.19 gamma=73.06
Site moments in Bohr magnetons follow the coordinates.
Fractional coordinates of all 4 atoms:
Rh 0.000 0.000 0.000  0.09
Rh 0.500 0.500 0.000  0.09
Re 0.250 0.750 0.500  0.64
Zn 0.750 0.250 0.500  0.01



# 24
Entry from the Alexandria database: a relaxed structure of Zn2ReRh (GGA-PBE).

Summary:
ρ in kg/m³: 11262
Symmetry: I-42d
E in eV/atom: -5.001
Offset from the most stable computed form in meV/atom: 666

Unit cell a=6.932 b=6.932 c=5.538 alpha=51.25 beta=51.25 gamma=90.00
Fractional coordinates of all 8 atoms:
Zn 0.618 0.125 0.250
Zn 0.375 0.382 0.750
Zn 0.875 0.868 0.750
Zn 0.132 0.625 0.250
Re 0.000 0.000 0.000
Re 0.750 0.250 0.500
Rh 0.500 0.500 0.000
Rh 0.250 0.750 0.500



# 25
Entry from the Alexandria database: a relaxed structure of ZnReRh2 (GGA-PBE).

Summary:
ρ in kg/m³: 13155
Symmetry: Pmmm
E in eV/atom: -6.934
Offset from the most stable computed form in meV/atom: 446

Unit cell a=2.768 b=4.628 c=4.507 alpha=90.00 beta=90.00 gamma=90.00
Fractional coordinates of all 4 atoms:
Zn 0.500 0.000 0.500
Rh 0.500 0.500 0.000
Rh 0.000 0.000 0.000
Re 0.000 0.500 0.500



# 26
Entry from the Alexandria database: a relaxed structure of ZnReRh2 (GGA-PBE).

Summary:
ρ in kg/m³: 13296
Symmetry: Cmmm
E in eV/atom: -7.180
Offset from the most stable computed form in meV/atom: 200

Unit cell a=6.219 b=4.658 c=2.744 alpha=89.98 beta=63.85 gamma=122.53
Fractional coordinates of all 4 atoms:
Rh 0.000 0.000 0.000
Rh 0.500 0.000 0.500
Zn 0.000 0.500 0.500
Re 0.500 0.500 0.000



# 27
Entry from the Alexandria database: a relaxed structure of ZnRe2Rh (GGA-PBE).

Summary:
ρ in kg/m³: 15321
Symmetry: R3m
E in eV/atom: -8.402
Offset from the most stable computed form in meV/atom: 0

Unit cell a=8.917 b=8.917 c=8.917 alpha=17.92 beta=17.92 gamma=17.92
Fractional coordinates of all 4 atoms:
Re 0.999 0.999 0.999
Re 0.250 0.250 0.250
Zn 0.752 0.752 0.752
Rh 0.500 0.500 0.500



# 28
Entry from the Alexandria database: a relaxed structure of Zn2ReRh (GGA-PBE).

Summary:
ρ in kg/m³: 12105
Symmetry: Cmmm
E in eV/atom: -5.543
Offset from the most stable computed form in meV/atom: 124

Unit cell a=2.692 b=2.692 c=8.625 alpha=90.00 beta=90.00 gamma=112.87
Fractional coordinates of all 4 atoms:
Zn 0.000 0.000 0.993
Zn 0.000 0.000 0.507
Rh 0.500 0.500 0.750
Re 0.500 0.500 0.250



# 29
Entry from the Alexandria database: a relaxed structure of ZnReRh2 (GGA-PBE).

Summary:
ρ in kg/m³: 13287
Symmetry: P4mm
E in eV/atom: -7.100
Offset from the most stable computed form in meV/atom: 280

Unit cell a=2.737 b=2.737 c=7.630 alpha=90.00 beta=90.00 gamma=90.00
Fractional coordinates of all 4 atoms:
Zn 0.000 0.000 0.493
Rh 0.000 0.000 0.995
Rh 0.500 0.500 0.257
Re 0.500 0.500 0.755



# 30
Entry from the Alexandria database: a relaxed structure of ZnRe2Rh (GGA-PBE).

Summary:
ρ in kg/m³: 15375
Symmetry: Fm-3m
E in eV/atom: -7.861
Offset from the most stable computed form in meV/atom: 541

Unit cell a=4.355 b=4.355 c=4.355 alpha=60.00 beta=60.00 gamma=60.00
Site moments in Bohr magnetons follow the coordinates.
Fractional coordinates of all 4 atoms:
Re 0.750 0.750 0.750  0.22
Re 0.250 0.250 0.250  0.22
Rh 0.500 0.500 0.500  0.52
Zn 0.000 0.000 0.000  0.04